SrGa2Pd: optimized geometry, PBE.

The structure in POSCAR format:
```
SrGa2Pd
1.0
5.7904 0.0000 0.0000
0.0000 4.2113 1.6715
0.0000 0.6284 4.4871
Sr Ga Pd
1 2 1
direct
0.0000 0.0519 0.9481
0.5000 0.9061 0.4313
0.5000 0.5687 0.0939
0.5000 0.2533 0.7467
```

* V: 103.3 Å³/cell
* ΔH_f (0 K): -0.4362 eV per atom